An optimized crystal structure of Ce3Ga5Pt6. Source: Alexandria, functional PBE.

As for the formation energy: -0.925 eV/atom.

abc: 4.3456 13.1319 9.2987
angles: 90.00 90.00 90.00
Element x y z (fractional)
Ce: 0.2500 0.0574 0.2455
Ce: 0.2500 0.4426 0.2455
Ce: 0.2500 0.7500 0.2670
Ce: 0.7500 0.2500 0.7330
Ce: 0.7500 0.5574 0.7545
Ce: 0.7500 0.9426 0.7545
Ga: 0.2500 0.0749 0.5924
Ga: 0.2500 0.4251 0.5924
Ga: 0.2500 0.6130 0.9847
Ga: 0.2500 0.7500 0.7593
Ga: 0.2500 0.8870 0.9847
Ga: 0.7500 0.1130 0.0153
Ga: 0.7500 0.2500 0.2407
Ga: 0.7500 0.3870 0.0153
Ga: 0.7500 0.5749 0.4076
Ga: 0.7500 0.9251 0.4076
Pt: 0.2500 0.0826 0.8643
Pt: 0.2500 0.2500 0.0590
Pt: 0.2500 0.2500 0.4576
Pt: 0.2500 0.4174 0.8643
Pt: 0.2500 0.6203 0.5407
Pt: 0.2500 0.8797 0.5407
Pt: 0.7500 0.1203 0.4593
Pt: 0.7500 0.3797 0.4593
Pt: 0.7500 0.5826 0.1357
Pt: 0.7500 0.7500 0.5424
Pt: 0.7500 0.7500 0.9410
Pt: 0.7500 0.9174 0.1357

---

An optimized crystal structure of Ce2Ga9Pt3. Source: Alexandria, functional PBE.

As for the formation energy: -0.678 eV/atom.

abc: 7.7472 7.7472 10.6476
angles: 111.12 111.12 60.10
Element x y z (fractional)
Ce: 0.0840 0.2503 0.2509
Ce: 0.2503 0.0840 0.7509
Ce: 0.7497 0.9160 0.2491
Ce: 0.9160 0.7497 0.7491
Ga: 0.0249 0.8600 0.0777
Ga: 0.1400 0.9751 0.4223
Ga: 0.1925 0.3596 0.5788
Ga: 0.2146 0.5811 0.2505
Ga: 0.3081 0.4778 0.9309
Ga: 0.3596 0.1925 0.0788
Ga: 0.3781 0.6219 0.7500
Ga: 0.4189 0.7854 0.2495
Ga: 0.4778 0.3081 0.4309
Ga: 0.5222 0.6919 0.5691
Ga: 0.5811 0.2146 0.7505
Ga: 0.6219 0.3781 0.2500
Ga: 0.6404 0.8075 0.9212
Ga: 0.6919 0.5222 0.0691
Ga: 0.7854 0.4189 0.7495
Ga: 0.8075 0.6404 0.4212
Ga: 0.8600 0.0249 0.5777
Ga: 0.9751 0.1400 0.9223
Pt: 0.0000 0.5000 0.0000
Pt: 0.1656 0.6667 0.4991
Pt: 0.3333 0.8344 0.0009
Pt: 0.5000 0.0000 0.5000
Pt: 0.6667 0.1656 0.9991
Pt: 0.8344 0.3333 0.5009

---

An optimized crystal structure of Ce2Ga3Pt5. Source: Alexandria, functional PBE.

As for the formation energy: -0.915 eV/atom. The calculation puts the offset from the most stable computed form at 0.00 eV per formula unit.

abc: 8.6056 8.6056 8.6056
angles: 97.61 95.39 140.68
Element x y z (fractional)
Ce: 0.2287 0.1301 0.3588
Ce: 0.2713 0.6301 0.9014
Ce: 0.7287 0.3699 0.0986
Ce: 0.7713 0.8699 0.6412
Ga: 0.1169 0.8632 0.9801
Ga: 0.2500 0.7500 0.5000
Ga: 0.3831 0.3632 0.7463
Ga: 0.6169 0.6368 0.2537
Ga: 0.7500 0.2500 0.5000
Ga: 0.8831 0.1368 0.0199
Pt: 0.1722 0.3962 0.5684
Pt: 0.2500 0.2500 0.0000
Pt: 0.2500 0.5232 0.2732
Pt: 0.2500 0.9768 0.7268
Pt: 0.3278 0.8962 0.2240
Pt: 0.6722 0.1038 0.7760
Pt: 0.7500 0.0232 0.2732
Pt: 0.7500 0.4768 0.7268
Pt: 0.7500 0.7500 0.0000
Pt: 0.8278 0.6038 0.4316

---

An optimized crystal structure of CeGa2Pt4. Source: Alexandria, functional PBE.

As for the formation energy: -0.804 eV/atom. The calculation puts the offset from the most stable computed form at 0.03 eV per formula unit.

abc: 16.4272 4.1677 7.3689
angles: 90.00 90.00 90.00
Element x y z (fractional)
Ce: 0.1498 0.2500 0.0730
Ce: 0.3502 0.7500 0.5730
Ce: 0.6498 0.2500 0.4270
Ce: 0.8502 0.7500 0.9270
Ga: 0.0173 0.7500 0.2516
Ga: 0.1851 0.2500 0.6215
Ga: 0.3149 0.7500 0.1215
Ga: 0.4827 0.2500 0.7516
Ga: 0.5173 0.7500 0.2484
Ga: 0.6851 0.2500 0.8785
Ga: 0.8149 0.7500 0.3785
Ga: 0.9827 0.2500 0.7484
Pt: 0.0461 0.7500 0.9075
Pt: 0.0525 0.2500 0.4373
Pt: 0.1715 0.7500 0.3894
Pt: 0.2141 0.7500 0.8226
Pt: 0.2859 0.2500 0.3226
Pt: 0.3285 0.2500 0.8894
Pt: 0.4475 0.7500 0.9373
Pt: 0.4539 0.2500 0.4075
Pt: 0.5461 0.7500 0.5925
Pt: 0.5525 0.2500 0.0627
Pt: 0.6715 0.7500 0.1106
Pt: 0.7141 0.7500 0.6774
Pt: 0.7859 0.2500 0.1774
Pt: 0.8285 0.2500 0.6106
Pt: 0.9475 0.7500 0.5627
Pt: 0.9539 0.2500 0.0925

---

An optimized crystal structure of Ce2GaPt2. Source: Alexandria, functional PBE.

As for the formation energy: -0.775 eV/atom.

abc: 6.6166 9.4848 3.5800
angles: 90.00 90.00 90.00
Element x y z (fractional)
Ce: 0.1070 0.1802 0.0000
Ce: 0.3930 0.6802 0.0000
Ce: 0.6070 0.3198 0.0000
Ce: 0.8930 0.8198 0.0000
Ga: 0.0000 0.5000 0.0000
Ga: 0.5000 0.0000 0.0000
Pt: 0.2224 0.9140 0.5000
Pt: 0.2776 0.4140 0.5000
Pt: 0.7224 0.5860 0.5000
Pt: 0.7776 0.0860 0.5000

---

An optimized crystal structure of Ce8GaPt2. Source: Alexandria, functional PBE.

As for the formation energy: -0.412 eV/atom.

abc: 7.9802 7.9802 5.2448
angles: 98.27 98.27 117.19
Element x y z (fractional)
Ce: 0.0754 0.2777 0.5699
Ce: 0.2370 0.7630 0.0000
Ce: 0.2777 0.0754 0.5699
Ce: 0.3969 0.3969 0.1704
Ce: 0.6031 0.6031 0.8296
Ce: 0.7223 0.9246 0.4301
Ce: 0.7630 0.2370 0.0000
Ce: 0.9246 0.7223 0.4301
Ga: 0.0000 0.0000 0.0000
Pt: 0.3104 0.6896 0.5000
Pt: 0.6896 0.3104 0.5000

---

An optimized crystal structure of Ce3Ga8Pt3. Source: Alexandria, functional PBE.

As for the formation energy: -0.766 eV/atom. The calculation puts the offset from the most stable computed form at 0.00 eV per formula unit.

abc: 8.2651 8.2651 8.8920
angles: 122.17 122.17 31.81
Element x y z (fractional)
Ce: 0.0000 0.0000 0.0000
Ce: 0.2853 0.2853 0.2887
Ce: 0.7147 0.7147 0.7113
Ga: 0.1410 0.1410 0.4311
Ga: 0.1522 0.1522 0.8635
Ga: 0.3470 0.3470 0.7098
Ga: 0.4980 0.4980 0.3288
Ga: 0.5020 0.5020 0.6712
Ga: 0.6530 0.6530 0.2902
Ga: 0.8478 0.8478 0.1365
Ga: 0.8590 0.8590 0.5689
Pt: 0.0000 0.0000 0.5000
Pt: 0.3522 0.3522 0.9979
Pt: 0.6478 0.6478 0.0021

---

An optimized crystal structure of CePuGaPt. Source: Alexandria, functional PBE.

As for the formation energy: -0.481 eV/atom. The calculation puts the offset from the most stable computed form at 0.33 eV per formula unit.

abc: 4.7234 4.7234 5.2797
angles: 90.00 90.00 120.00
Element x y z (fractional)
Ce: 0.0000 0.0000 0.0000
Pu: 0.3333 0.6667 0.4660
Ga: 0.6667 0.3333 0.7325
Pt: 0.6667 0.3333 0.2365

---

An optimized crystal structure of CePuGaPt. Source: Alexandria, functional PBE.

As for the formation energy: -0.563 eV/atom. The calculation puts the offset from the most stable computed form at 0.00 eV per formula unit.

abc: 5.0579 5.0579 5.0579
angles: 60.00 60.00 60.00
Element x y z (fractional)
Ce: 0.0000 0.0000 0.0000
Pu: 0.5000 0.5000 0.5000
Ga: 0.7500 0.7500 0.7500
Pt: 0.2500 0.2500 0.2500

---

An optimized crystal structure of CeGa2Pt2Rh. Source: Alexandria, functional PBE.

As for the formation energy: -0.568 eV/atom.

abc: 4.6880 4.6880 5.4292
angles: 90.00 90.00 90.00
Element x y z (fractional)
Ce: 0.0000 0.0000 0.0000
Ga: 0.0000 0.5000 0.5000
Ga: 0.5000 0.0000 0.5000
Pt: 0.5000 0.5000 0.2423
Pt: 0.5000 0.5000 0.7577
Rh: 0.0000 0.0000 0.5000

---

An optimized crystal structure of CeGa4Pt2Rh. Source: Alexandria, functional PBE.

As for the formation energy: -0.718 eV/atom.

abc: 9.1139 9.1139 9.1139
angles: 27.25 27.25 27.25
Element x y z (fractional)
Ce: 0.0000 0.0000 0.0000
Ga: 0.1321 0.1321 0.1321
Ga: 0.3988 0.3988 0.3988
Ga: 0.6012 0.6012 0.6012
Ga: 0.8679 0.8679 0.8679
Pt: 0.2358 0.2358 0.2358
Pt: 0.7642 0.7642 0.7642
Rh: 0.5000 0.5000 0.5000

---

An optimized crystal structure of Ce2Ga4Pt3Rh. Source: Alexandria, functional PBE.

As for the formation energy: -0.920 eV/atom.

abc: 4.2516 4.2516 10.5070
angles: 90.00 90.00 90.00
Element x y z (fractional)
Ce: 0.0000 0.5000 0.2489
Ce: 0.5000 0.0000 0.7511
Ga: 0.0000 0.0000 0.0000
Ga: 0.0000 0.5000 0.6278
Ga: 0.5000 0.0000 0.3722
Ga: 0.5000 0.5000 0.0000
Pt: 0.0000 0.5000 0.8639
Pt: 0.5000 0.0000 0.1361
Pt: 0.5000 0.5000 0.5000
Rh: 0.0000 0.0000 0.5000

---

An optimized crystal structure of Ce2Ga4PtRh3. Source: Alexandria, functional PBE.

As for the formation energy: -0.806 eV/atom.

abc: 4.2199 4.2199 10.4659
angles: 90.00 90.00 90.00
Element x y z (fractional)
Ce: 0.0000 0.5000 0.2503
Ce: 0.5000 0.0000 0.7497
Ga: 0.0000 0.0000 0.0000
Ga: 0.0000 0.5000 0.6309
Ga: 0.5000 0.0000 0.3691
Ga: 0.5000 0.5000 0.0000
Pt: 0.0000 0.0000 0.5000
Rh: 0.0000 0.5000 0.8662
Rh: 0.5000 0.0000 0.1338
Rh: 0.5000 0.5000 0.5000

---

An optimized crystal structure of Ce2Ga3Pt12Rh. Source: Alexandria, functional PBE.

As for the formation energy: -0.345 eV/atom.

abc: 7.8531 7.8531 7.8531
angles: 62.31 62.31 62.31
Element x y z (fractional)
Ce: 0.1211 0.1211 0.1211
Ce: 0.8789 0.8789 0.8789
Ga: 0.0000 0.5000 0.5000
Ga: 0.5000 0.0000 0.5000
Ga: 0.5000 0.5000 0.0000
Pt: 0.1132 0.6396 0.6396
Pt: 0.1228 0.1228 0.6227
Pt: 0.1228 0.6227 0.1228
Pt: 0.3604 0.3604 0.8868
Pt: 0.3604 0.8868 0.3604
Pt: 0.3773 0.8772 0.8772
Pt: 0.6227 0.1228 0.1228
Pt: 0.6396 0.1132 0.6396
Pt: 0.6396 0.6396 0.1132
Pt: 0.8772 0.3773 0.8772
Pt: 0.8772 0.8772 0.3773
Pt: 0.8868 0.3604 0.3604
Rh: 0.5000 0.5000 0.5000

---

An optimized crystal structure of Ce2Ga3Pt4Rh. Source: Alexandria, functional PBE.

As for the formation energy: -0.862 eV/atom.

abc: 4.0234 4.0234 11.7095
angles: 90.00 90.00 90.00
Element x y z (fractional)
Ce: 0.0000 0.5000 0.2334
Ce: 0.5000 0.0000 0.7666
Ga: 0.0000 0.0000 0.0000
Ga: 0.0000 0.5000 0.6294
Ga: 0.5000 0.0000 0.3706
Pt: 0.0000 0.0000 0.5000
Pt: 0.0000 0.5000 0.8404
Pt: 0.5000 0.0000 0.1596
Pt: 0.5000 0.5000 0.5000
Rh: 0.5000 0.5000 0.0000

---

An optimized crystal structure of Ce2Ga4RuPt3. Source: Alexandria, functional PBE.

As for the formation energy: -0.843 eV/atom.

abc: 4.3059 4.3059 10.2670
angles: 90.00 90.00 90.00
Element x y z (fractional)
Ce: 0.0000 0.5000 0.2417
Ce: 0.5000 0.0000 0.7583
Ga: 0.0000 0.0000 0.5000
Ga: 0.0000 0.5000 0.8740
Ga: 0.5000 0.0000 0.1260
Ga: 0.5000 0.5000 0.5000
Ru: 0.5000 0.5000 0.0000
Pt: 0.0000 0.0000 0.0000
Pt: 0.0000 0.5000 0.6330
Pt: 0.5000 0.0000 0.3670

---

An optimized crystal structure of CeGa4RuPt2. Source: Alexandria, functional PBE.

As for the formation energy: -0.644 eV/atom.

abc: 9.1228 9.1228 9.1228
angles: 27.10 27.10 27.10
Element x y z (fractional)
Ce: 0.0000 0.0000 0.0000
Ga: 0.1332 0.1332 0.1332
Ga: 0.3993 0.3993 0.3993
Ga: 0.6007 0.6007 0.6007
Ga: 0.8668 0.8668 0.8668
Ru: 0.5000 0.5000 0.5000
Pt: 0.2373 0.2373 0.2373
Pt: 0.7627 0.7627 0.7627

---

An optimized crystal structure of Ce2Ga3SbPt4. Source: Alexandria, functional PBE.

The value obtained for the uncorrected formation energy is -0.883 eV per atom.

abc: 4.3876 4.3876 10.4869
angles: 90.00 90.00 90.00
Element x y z (fractional)
Ce: 0.0000 0.5000 0.2400
Ce: 0.5000 0.0000 0.7600
Ga: 0.0000 0.5000 0.8756
Ga: 0.5000 0.0000 0.1244
Ga: 0.5000 0.5000 0.5000
Sb: 0.0000 0.0000 0.5000
Pt: 0.0000 0.0000 0.0000
Pt: 0.0000 0.5000 0.6407
Pt: 0.5000 0.0000 0.3593
Pt: 0.5000 0.5000 0.0000

---

An optimized crystal structure of CeScGa2Pt2. Source: Alexandria, functional PBE.

As for the formation energy: -1.038 eV/atom.

abc: 4.4470 4.4470 6.7605
angles: 90.00 90.00 120.00
Element x y z (fractional)
Ce: 0.0000 0.0000 0.0000
Sc: 0.0000 0.0000 0.5000
Ga: 0.3333 0.6667 0.2895
Ga: 0.6667 0.3333 0.7105
Pt: 0.3333 0.6667 0.7175
Pt: 0.6667 0.3333 0.2825

---

An optimized crystal structure of CeScGa2Pt5. Source: Alexandria, functional PBE.

As for the formation energy: -0.827 eV/atom.

abc: 4.1456 4.1456 9.4140
angles: 90.00 90.00 90.00
Element x y z (fractional)
Ce: 0.0000 0.0000 0.0000
Sc: 0.0000 0.0000 0.5000
Ga: 0.5000 0.5000 0.3741
Ga: 0.5000 0.5000 0.6259
Pt: 0.0000 0.5000 0.2254
Pt: 0.0000 0.5000 0.7746
Pt: 0.5000 0.0000 0.2254
Pt: 0.5000 0.0000 0.7746
Pt: 0.5000 0.5000 0.0000

---

Computed volume, in the same sequence as the records: 530.64; 503.74; 380.20; 504.50; 224.67; 285.57; 266.63; 102.01; 91.50; 119.32; 140.01; 189.93; 186.37; 360.15; 189.55; 190.36; 139.03; 201.88; 115.78; 161.79 Å³ per cell.
Computed N(E_F), in the same sequence as the records: 1.1875; 1.0463; 0.9978; 0.5828; 1.9918; 2.8710; 1.0300; 3.3543; 2.9872; 1.3209; 0.7488; 1.2192; 1.2639; 0.4834; 1.0028; 1.2651; 0.5697; 1.2262; 0.9998; 0.7141 states/eV per atom.